(1)
This record from the Alexandria database describes an optimized crystal structure of AsO2F2. The functional is PBE.

abc: 3.579 3.579 4.214
angles: 90.00 90.00 90.00
Sites, in units of the cell vectors:
As 0.000 0.000 0.000
O 0.000 0.500 0.500
O 0.500 0.000 0.500
F 0.500 0.500 0.000
F 0.500 0.500 0.500

Results
* ΔE to the lowest computed polymorph: 1182 meV/atom
* space group: P4/mmm

---

(2)
This record from the Alexandria database describes an optimized crystal structure of As2OF8. The functional is PBE.

abc: 6.837 6.837 5.376
angles: 106.29 106.29 56.33
Sites, in units of the cell vectors:
As 0.131 0.131 0.253
As 0.869 0.869 0.747
O 0.000 0.000 0.000
F 0.126 0.126 0.571
F 0.135 0.595 0.737
F 0.259 0.259 0.173
F 0.405 0.865 0.263
F 0.595 0.135 0.737
F 0.741 0.741 0.827
F 0.865 0.405 0.263
F 0.874 0.874 0.429

Results
* E: -49.79 eV/f.u.
* space group: C2/m

---

(3)
This record from the Alexandria database describes an optimized crystal structure of As2O2F. The functional is PBE.

abc: 7.142 7.142 2.905
angles: 90.00 90.00 90.00
Sites, in units of the cell vectors:
As 0.248 0.252 0.000
As 0.252 0.752 0.000
As 0.748 0.248 0.000
As 0.752 0.748 0.000
O 0.135 0.365 0.500
O 0.365 0.865 0.500
O 0.635 0.135 0.500
O 0.865 0.635 0.500
F 0.000 0.000 0.500
F 0.500 0.500 0.500

Results
* E: -24.66 eV/f.u.
* space group: P4/mbm

---

(4)
This record from the Alexandria database describes an optimized crystal structure of AsOsO2F. The functional is PBE.

abc: 3.658 3.658 7.357
angles: 90.00 90.00 90.00
Sites, in units of the cell vectors:
As 0.000 0.000 0.000
Os 0.500 0.500 0.500
O 0.000 0.500 0.500
O 0.500 0.000 0.500
F 0.500 0.500 0.000

Results
* E: -29.67 eV/f.u.
* space group: P4/mmm

---

(5)
This record from the Alexandria database describes an optimized crystal structure of AsOsO2F. The functional is PBE.

abc: 4.034 4.034 4.112
angles: 90.00 90.00 90.00
Sites, in units of the cell vectors:
As 0.000 0.000 0.000
Os 0.500 0.500 0.500
O 0.000 0.500 0.000
O 0.500 0.000 0.000
F 0.000 0.000 0.500

Results
* E: -25.60 eV/f.u.
* space group: P4/mmm

---

(6)
This record from the Alexandria database describes an optimized crystal structure of AsP2OF. The functional is PBE.

abc: 4.848 4.848 3.617
angles: 90.00 90.00 90.00
Sites, in units of the cell vectors:
As 0.000 0.000 0.000
P 0.000 0.500 0.000
P 0.500 0.000 0.000
O 0.000 0.000 0.500
F 0.500 0.500 0.500

Results
* ΔE to the lowest computed polymorph: 0 meV/atom
* space group: P4/mmm

---

(7)
This record from the Alexandria database describes an optimized crystal structure of AsPO2F. The functional is PBE.

abc: 3.819 3.819 4.074
angles: 90.00 90.00 90.00
Sites, in units of the cell vectors:
As 0.000 0.000 0.000
P 0.500 0.500 0.500
O 0.000 0.500 0.500
O 0.500 0.000 0.500
F 0.500 0.500 0.000

Results
* E: -23.54 eV/f.u.
* space group: P4/mmm

---

(8)
This record from the Alexandria database describes an optimized crystal structure of AsP2OF. The functional is PBE.

abc: 4.791 4.791 3.866
angles: 90.00 90.00 90.00
Sites, in units of the cell vectors:
As 0.000 0.000 0.000
P 0.000 0.500 0.000
P 0.500 0.000 0.000
O 0.500 0.500 0.500
F 0.000 0.000 0.500

Results
* ΔE to the lowest computed polymorph: 249 meV/atom
* space group: P4/mmm

---

(9)
This record from the Alexandria database describes an optimized crystal structure of AsPO2F. The functional is PBE.

abc: 4.309 4.309 3.492
angles: 90.00 90.00 90.00
Sites, in units of the cell vectors:
As 0.000 0.000 0.000
P 0.500 0.500 0.000
O 0.000 0.500 0.500
O 0.500 0.000 0.500
F 0.500 0.500 0.500

Results
* E: -18.03 eV/f.u.
* space group: P4/mmm

---

(10)
This record from the Alexandria database describes an optimized crystal structure of AsP2OF. The functional is PBE.

abc: 3.994 3.994 4.617
angles: 90.00 90.00 90.00
Sites, in units of the cell vectors:
As 0.000 0.000 0.000
P 0.000 0.500 0.500
P 0.500 0.000 0.500
O 0.500 0.500 0.000
F 0.500 0.500 0.500

Results
* ΔE to the lowest computed polymorph: 353 meV/atom
* space group: P4/mmm

---

(11)
This record from the Alexandria database describes an optimized crystal structure of AsPO2F. The functional is PBE.

abc: 4.017 4.017 4.057
angles: 90.00 90.00 90.00
Sites, in units of the cell vectors:
As 0.000 0.000 0.000
P 0.500 0.500 0.500
O 0.000 0.500 0.000
O 0.500 0.000 0.000
F 0.000 0.000 0.500

Results
* E: -22.57 eV/f.u.
* space group: P4/mmm

---

(12)
This record from the Alexandria database describes an optimized crystal structure of AsPO2F. The functional is PBE.

abc: 3.559 3.559 5.203
angles: 90.00 90.00 90.00
Sites, in units of the cell vectors:
As 0.000 0.000 0.000
P 0.000 0.000 0.500
O 0.000 0.500 0.000
O 0.500 0.000 0.000
F 0.500 0.500 0.500

Results
* E: -23.22 eV/f.u.
* space group: P4/mmm

---

(13)
This record from the Alexandria database describes an optimized crystal structure of AsPO4F2. The functional is PBE.

abc: 5.077 6.894 6.704
angles: 90.00 90.00 90.00
Sites, in units of the cell vectors:
As 0.000 0.228 0.000
As 0.500 0.772 0.500
P 0.000 0.912 0.692
P 0.500 0.088 0.192
O 0.000 0.066 0.541
O 0.000 0.986 0.920
O 0.246 0.227 0.197
O 0.254 0.773 0.697
O 0.500 0.014 0.420
O 0.500 0.934 0.041
O 0.746 0.773 0.697
O 0.754 0.227 0.197
F 0.233 0.346 0.852
F 0.267 0.654 0.352
F 0.733 0.654 0.352
F 0.767 0.346 0.852

Results
* E: -46.90 eV/f.u.
* space group: Pmn2_1

---

(14)
This record from the Alexandria database describes an optimized crystal structure of Pa2AsO8F. The functional is PBE.

abc: 4.481 4.481 7.625
angles: 92.91 92.91 94.14
Sites, in units of the cell vectors:
Pa 0.021 0.021 0.252
Pa 0.979 0.979 0.748
As 0.500 0.500 0.500
O 0.198 0.198 0.995
O 0.205 0.205 0.513
O 0.271 0.655 0.318
O 0.345 0.729 0.682
O 0.655 0.271 0.318
O 0.729 0.345 0.682
O 0.795 0.795 0.487
O 0.802 0.802 0.005
F 0.500 0.500 0.000

Results
* E: -91.72 eV/f.u.
* space group: C2/m

---

(15)
This record from the Alexandria database describes an optimized crystal structure of PaAsO4F2. The functional is PBE.

abc: 5.813 7.709 5.208
angles: 90.00 90.00 90.00
Sites, in units of the cell vectors:
Pa 0.000 0.166 0.000
Pa 0.500 0.834 0.500
As 0.000 0.588 0.600
As 0.500 0.412 0.100
O 0.000 0.391 0.767
O 0.000 0.585 0.285
O 0.234 0.713 0.713
O 0.266 0.287 0.213
O 0.500 0.415 0.785
O 0.500 0.609 0.267
O 0.734 0.287 0.213
O 0.766 0.713 0.713
F 0.243 0.942 0.233
F 0.257 0.058 0.733
F 0.743 0.058 0.733
F 0.757 0.942 0.233

Results
* E: -57.34 eV/f.u.
* space group: Pmn2_1

---

(16)
This record from the Alexandria database describes an optimized crystal structure of PaAsO4F. The functional is PBE.

abc: 5.955 5.955 6.934
angles: 104.60 104.60 73.00
Sites, in units of the cell vectors:
Pa 0.223 0.223 0.116
Pa 0.777 0.777 0.884
As 0.348 0.348 0.704
As 0.652 0.652 0.296
O 0.113 0.479 0.858
O 0.245 0.245 0.443
O 0.459 0.459 0.249
O 0.479 0.113 0.858
O 0.521 0.887 0.142
O 0.541 0.541 0.751
O 0.755 0.755 0.557
O 0.887 0.521 0.142
F 0.019 0.019 0.836
F 0.981 0.981 0.164

Results
* E: -52.99 eV/f.u.
* space group: C2/m

---

(17)
This record from the Alexandria database describes an optimized crystal structure of As3Pb5O12F. The functional is PBE.

abc: 10.344 10.344 7.576
angles: 90.00 90.00 120.00
Sites, in units of the cell vectors:
As 0.028 0.626 0.250
As 0.374 0.402 0.250
As 0.402 0.028 0.750
As 0.598 0.972 0.250
As 0.626 0.598 0.750
As 0.972 0.374 0.750
Pb 0.011 0.250 0.250
Pb 0.239 0.989 0.250
Pb 0.250 0.239 0.750
Pb 0.333 0.667 0.505
Pb 0.333 0.667 0.995
Pb 0.667 0.333 0.005
Pb 0.667 0.333 0.495
Pb 0.750 0.761 0.250
Pb 0.761 0.011 0.750
Pb 0.989 0.750 0.750
O 0.090 0.744 0.070
O 0.090 0.744 0.430
O 0.124 0.527 0.250
O 0.162 0.494 0.750
O 0.256 0.346 0.070
O 0.256 0.346 0.430
O 0.332 0.838 0.750
O 0.346 0.090 0.570
O 0.346 0.090 0.930
O 0.404 0.876 0.250
O 0.473 0.596 0.250
O 0.494 0.332 0.250
O 0.506 0.668 0.750
O 0.527 0.404 0.750
O 0.596 0.124 0.750
O 0.654 0.910 0.070
O 0.654 0.910 0.430
O 0.668 0.162 0.250
O 0.744 0.654 0.570
O 0.744 0.654 0.930
O 0.838 0.506 0.250
O 0.876 0.473 0.750
O 0.910 0.256 0.570
O 0.910 0.256 0.930
F 0.000 0.000 0.250
F 0.000 0.000 0.750

Results
* E: -123.43 eV/f.u.
* space group: P6_3/m

---

(18)
This record from the Alexandria database describes an optimized crystal structure of AsPbO2F. The functional is PBE.

abc: 4.363 4.363 4.454
angles: 90.00 90.00 90.00
Sites, in units of the cell vectors:
As 0.000 0.000 0.000
Pb 0.500 0.500 0.500
O 0.000 0.500 0.500
O 0.500 0.000 0.500
F 0.500 0.500 0.000

Results
* E: -21.62 eV/f.u.
* space group: P4/mmm

---

(19)
This record from the Alexandria database describes an optimized crystal structure of AsPb2O4F2. The functional is PBE.

abc: 5.553 5.553 5.553
angles: 116.65 116.65 95.91
Sites, in units of the cell vectors:
As 0.000 0.000 0.000
Pb 0.250 0.750 0.500
Pb 0.750 0.250 0.500
O 0.219 0.219 0.438
O 0.219 0.781 0.000
O 0.781 0.219 0.000
O 0.781 0.781 0.562
F 0.256 0.256 0.000
F 0.744 0.744 0.000

Results
* E: -47.57 eV/f.u.
* space group: I4/mmm

---

(20)
This record from the Alexandria database describes an optimized crystal structure of AsPb2OF. The functional is PBE.

abc: 5.007 5.007 4.081
angles: 90.00 90.00 90.00
Sites, in units of the cell vectors:
As 0.000 0.000 0.000
Pb 0.000 0.500 0.500
Pb 0.500 0.000 0.500
O 0.500 0.500 0.500
F 0.500 0.500 0.000

Results
* E: -20.89 eV/f.u.
* space group: P4/mmm

---

(21)
This record from the Alexandria database describes an optimized crystal structure of AsPbOF2. The functional is PBE.

abc: 4.597 4.597 4.415
angles: 90.00 90.00 90.00
Sites, in units of the cell vectors:
As 0.000 0.000 0.000
Pb 0.500 0.500 0.500
O 0.500 0.500 0.000
F 0.000 0.500 0.500
F 0.500 0.000 0.500

Results
* E: -20.50 eV/f.u.
* space group: P4/mmm

---

(22)
This record from the Alexandria database describes an optimized crystal structure of AsPbO2F. The functional is PBE.

abc: 4.150 4.150 4.243
angles: 90.00 90.00 90.00
Sites, in units of the cell vectors:
As 0.000 0.000 0.000
Pb 0.500 0.500 0.500
O 0.000 0.500 0.000
O 0.500 0.000 0.000
F 0.000 0.000 0.500

Results
* E: -25.76 eV/f.u.
* space group: P4/mmm

---

(23)
This record from the Alexandria database describes an optimized crystal structure of AsPdOF2. The functional is PBE.

abc: 4.187 4.187 4.063
angles: 90.00 90.00 90.00
Sites, in units of the cell vectors:
As 0.000 0.000 0.000
Pd 0.500 0.500 0.500
O 0.500 0.500 0.000
F 0.000 0.500 0.500
F 0.500 0.000 0.500

Results
* ΔE to the lowest computed polymorph: 471 meV/atom
* space group: P4/mmm

---

(24)
This record from the Alexandria database describes an optimized crystal structure of AsPdOF2. The functional is PBE.

abc: 4.232 4.232 3.928
angles: 90.00 90.00 90.00
Sites, in units of the cell vectors:
As 0.000 0.000 0.000
Pd 0.500 0.500 0.500
O 0.000 0.000 0.500
F 0.000 0.500 0.000
F 0.500 0.000 0.000

Results
* ΔE to the lowest computed polymorph: 0 meV/atom
* space group: P4/mmm